The following is a DFT calculation (PBE-GGA) of crystalline Gd6Dy at its relaxed geometry.

a = 6.900 Å, b = 6.900 Å, c = 6.900 Å
α = 109.47°, β = 109.47°, γ = 109.47°
Positions (direct):
Gd 0.250 0.500 0.750
Gd 0.250 0.750 0.500
Gd 0.500 0.250 0.750
Gd 0.500 0.750 0.250
Gd 0.750 0.250 0.500
Gd 0.750 0.500 0.250
Dy 0.000 0.000 0.000

ΔH_f (0 K) in eV per formula unit: 9.3

The following is a DFT calculation (PBE-GGA) of crystalline GdDy at its relaxed geometry.

a = 3.616 Å, b = 5.756 Å, c = 6.262 Å
α = 90.00°, β = 90.00°, γ = 90.00°
Positions (direct):
Gd 0.250 0.250 0.084
Gd 0.750 0.750 0.916
Dy 0.250 0.750 0.418
Dy 0.750 0.250 0.582

Polymorph energy (0 for the lowest one) in meV per atom: 0.0
ΔH_f (0 K) in eV per formula unit: 0.0

The following is a DFT calculation (PBE-GGA) of crystalline Gd2DyGe at its relaxed geometry.

a = 3.960 Å, b = 3.960 Å, c = 6.872 Å
α = 90.00°, β = 90.00°, γ = 90.00°
Positions (direct):
Gd 0.000 0.000 0.212
Gd 0.000 0.000 0.788
Dy 0.500 0.500 0.500
Ge 0.500 0.500 0.000

Polymorph energy (0 for the lowest one) in meV per atom: 26.0
ΔH_f (0 K) in eV per formula unit: -1.3

The following is a DFT calculation (PBE-GGA) of crystalline Gd2DyGe at its relaxed geometry.

a = 11.761 Å, b = 11.761 Å, c = 11.761 Å
α = 17.10°, β = 17.10°, γ = 17.10°
Positions (direct):
Gd 0.084 0.084 0.084
Gd 0.916 0.916 0.916
Dy 0.500 0.500 0.500
Ge 0.000 0.000 0.000

Polymorph energy (0 for the lowest one) in meV per atom: 510.5
ΔH_f (0 K) in eV per formula unit: 0.6

The following is a DFT calculation (PBE-GGA) of crystalline GdDyGe at its relaxed geometry.

a = 5.797 Å, b = 5.797 Å, c = 5.797 Å
α = 141.15°, β = 141.15°, γ = 56.11°
Positions (direct):
Gd 0.000 0.000 0.000
Dy 0.293 0.293 0.000
Ge 0.652 0.652 0.000

ΔH_f (0 K) in eV per formula unit: -1.4

The following is a DFT calculation (PBE-GGA) of crystalline GdDyGe at its relaxed geometry.

a = 4.906 Å, b = 4.906 Å, c = 4.906 Å
α = 60.00°, β = 60.00°, γ = 60.00°
Positions (direct):
Gd 0.000 0.000 0.000
Dy 0.500 0.500 0.500
Ge 0.750 0.750 0.750

ΔH_f (0 K) in eV per formula unit: -1.6

The following is a DFT calculation (PBE-GGA) of crystalline GdDyGe at its relaxed geometry.

a = 4.737 Å, b = 4.737 Å, c = 4.152 Å
α = 90.00°, β = 90.00°, γ = 120.00°
Positions (direct):
Gd 0.000 0.000 0.000
Dy 0.333 0.667 0.475
Ge 0.667 0.333 0.667

ΔH_f (0 K) in eV per formula unit: -1.2

The following is a DFT calculation (PBE-GGA) of crystalline Gd2DyGe at its relaxed geometry.

a = 4.677 Å, b = 4.677 Å, c = 4.739 Å
α = 90.00°, β = 90.00°, γ = 90.00°
Positions (direct):
Gd 0.000 0.500 0.000
Gd 0.500 0.000 0.000
Dy 0.000 0.000 0.500
Ge 0.500 0.500 0.500

Polymorph energy (0 for the lowest one) in meV per atom: 0.0
ΔH_f (0 K) in eV per formula unit: -1.4

The following is a DFT calculation (PBE-GGA) of crystalline GdDyGeIr at its relaxed geometry.

a = 4.982 Å, b = 4.982 Å, c = 4.982 Å
α = 60.00°, β = 60.00°, γ = 60.00°
Positions (direct):
Gd 0.000 0.000 0.000
Dy 0.500 0.500 0.500
Ge 0.250 0.250 0.250
Ir 0.750 0.750 0.750

ΔH_f (0 K) in eV per formula unit: -2.7

The following is a DFT calculation (PBE-GGA) of crystalline GdDyNiGe at its relaxed geometry.

a = 4.950 Å, b = 4.950 Å, c = 4.950 Å
α = 60.00°, β = 60.00°, γ = 60.00°
Positions (direct):
Gd 0.000 0.000 0.000
Dy 0.500 0.500 0.500
Ni 0.750 0.750 0.750
Ge 0.250 0.250 0.250

ΔH_f (0 K) in eV per formula unit: -2.1

The following is a DFT calculation (PBE-GGA) of crystalline GdDyGePd at its relaxed geometry.

a = 5.033 Å, b = 5.033 Å, c = 5.033 Å
α = 60.00°, β = 60.00°, γ = 60.00°
Positions (direct):
Gd 0.000 0.000 0.000
Dy 0.500 0.500 0.500
Ge 0.250 0.250 0.250
Pd 0.750 0.750 0.750

ΔH_f (0 K) in eV per formula unit: -3.2

The following is a DFT calculation (PBE-GGA) of crystalline GdDyGePt at its relaxed geometry.

a = 5.028 Å, b = 5.028 Å, c = 5.028 Å
α = 60.00°, β = 60.00°, γ = 60.00°
Positions (direct):
Gd 0.000 0.000 0.000
Dy 0.500 0.500 0.500
Ge 0.250 0.250 0.250
Pt 0.750 0.750 0.750

ΔH_f (0 K) in eV per formula unit: -3.7

The following is a DFT calculation (PBE-GGA) of crystalline GdDyGeRh at its relaxed geometry.

a = 4.977 Å, b = 4.977 Å, c = 4.977 Å
α = 60.00°, β = 60.00°, γ = 60.00°
Positions (direct):
Gd 0.000 0.000 0.000
Dy 0.500 0.500 0.500
Ge 0.250 0.250 0.250
Rh 0.750 0.750 0.750

ΔH_f (0 K) in eV per formula unit: -2.9

The following is a DFT calculation (PBE-GGA) of crystalline GdDyGeRu at its relaxed geometry.

a = 4.953 Å, b = 4.953 Å, c = 4.953 Å
α = 60.00°, β = 60.00°, γ = 60.00°
Positions (direct):
Gd 0.000 0.000 0.000
Dy 0.500 0.500 0.500
Ge 0.750 0.750 0.750
Ru 0.250 0.250 0.250

ΔH_f (0 K) in eV per formula unit: -1.8

The following is a DFT calculation (PBE-GGA) of crystalline GdDyZnGe at its relaxed geometry.

a = 5.045 Å, b = 5.045 Å, c = 5.045 Å
α = 60.00°, β = 60.00°, γ = 60.00°
Positions (direct):
Gd 0.000 0.000 0.000
Dy 0.500 0.500 0.500
Zn 0.250 0.250 0.250
Ge 0.750 0.750 0.750

ΔH_f (0 K) in eV per formula unit: -2.1

The following is a DFT calculation (PBE-GGA) of crystalline Gd3Dy5H12 at its relaxed geometry.

a = 11.364 Å, b = 11.364 Å, c = 11.364 Å
α = 109.47°, β = 109.47°, γ = 109.47°
Positions (direct):
Gd 0.125 0.250 0.375
Gd 0.125 0.375 0.750
Gd 0.250 0.375 0.125
Gd 0.250 0.875 0.625
Gd 0.375 0.125 0.250
Gd 0.375 0.750 0.125
Gd 0.625 0.250 0.875
Gd 0.625 0.875 0.750
Gd 0.750 0.125 0.375
Gd 0.750 0.625 0.875
Gd 0.875 0.625 0.250
Gd 0.875 0.750 0.625
Dy 0.000 0.000 0.000
Dy 0.000 0.000 0.500
Dy 0.000 0.500 0.000
Dy 0.000 0.500 0.500
Dy 0.125 0.750 0.875
Dy 0.125 0.875 0.250
Dy 0.250 0.125 0.875
Dy 0.250 0.625 0.375
Dy 0.375 0.250 0.625
Dy 0.375 0.625 0.750
Dy 0.500 0.000 0.000
Dy 0.500 0.000 0.500
Dy 0.500 0.500 0.000
Dy 0.500 0.500 0.500
Dy 0.625 0.375 0.250
Dy 0.625 0.750 0.375
Dy 0.750 0.375 0.625
Dy 0.750 0.875 0.125
Dy 0.875 0.125 0.750
Dy 0.875 0.250 0.125
H 0.064 0.223 0.151
H 0.064 0.341 0.912
H 0.071 0.723 0.659
H 0.071 0.849 0.412
H 0.088 0.651 0.429
H 0.088 0.936 0.659
H 0.151 0.064 0.223
H 0.151 0.588 0.929
H 0.159 0.223 0.571
H 0.159 0.436 0.588
H 0.223 0.151 0.064
H 0.223 0.571 0.159
H 0.277 0.341 0.929
H 0.277 0.436 0.349
H 0.341 0.912 0.064
H 0.341 0.929 0.277
H 0.349 0.277 0.436
H 0.349 0.571 0.912
H 0.412 0.071 0.849
H 0.412 0.841 0.564
H 0.429 0.088 0.651
H 0.429 0.841 0.777
H 0.436 0.349 0.277
H 0.436 0.588 0.159
H 0.564 0.412 0.841
H 0.564 0.651 0.723
H 0.571 0.159 0.223
H 0.571 0.912 0.349
H 0.588 0.159 0.436
H 0.588 0.929 0.151
H 0.651 0.429 0.088
H 0.651 0.723 0.564
H 0.659 0.071 0.723
H 0.659 0.088 0.936
H 0.723 0.564 0.651
H 0.723 0.659 0.071
H 0.777 0.429 0.841
H 0.777 0.849 0.936
H 0.841 0.564 0.412
H 0.841 0.777 0.429
H 0.849 0.412 0.071
H 0.849 0.936 0.777
H 0.912 0.064 0.341
H 0.912 0.349 0.571
H 0.929 0.151 0.588
H 0.929 0.277 0.341
H 0.936 0.659 0.088
H 0.936 0.777 0.849

Total energy in eV per atom: -5.75

The following is a DFT calculation (PBE-GGA) of crystalline Gd2Dy4H at its relaxed geometry.

a = 9.210 Å, b = 9.210 Å, c = 9.210 Å
α = 149.58°, β = 149.58°, γ = 43.57°
Positions (direct):
Gd 0.149 0.149 0.000
Gd 0.851 0.851 0.000
Dy 0.000 0.500 0.500
Dy 0.351 0.351 0.000
Dy 0.500 0.000 0.500
Dy 0.649 0.649 0.000
H 0.500 0.500 0.000

Total energy in eV per atom: -7.07

The following is a DFT calculation (PBE-GGA) of crystalline GdDyH2 at its relaxed geometry.

a = 6.042 Å, b = 6.042 Å, c = 6.042 Å
α = 33.66°, β = 33.66°, γ = 33.66°
Positions (direct):
Gd 0.000 0.000 0.000
Dy 0.500 0.500 0.500
H 0.248 0.248 0.248
H 0.752 0.752 0.752

Total energy in eV per atom: -6.73

The following is a DFT calculation (PBE-GGA) of crystalline Gd2DyH at its relaxed geometry.

a = 8.790 Å, b = 8.790 Å, c = 8.790 Å
α = 23.74°, β = 23.74°, γ = 23.74°
Positions (direct):
Gd 0.222 0.222 0.222
Gd 0.778 0.778 0.778
Dy 0.000 0.000 0.000
H 0.500 0.500 0.500

Polymorph energy (0 for the lowest one) in meV per atom: 0.0

The following is a DFT calculation (PBE-GGA) of crystalline Gd4Dy2H at its relaxed geometry.

a = 9.223 Å, b = 9.223 Å, c = 9.223 Å
α = 149.55°, β = 149.55°, γ = 43.60°
Positions (direct):
Gd 0.000 0.500 0.500
Gd 0.152 0.152 0.000
Gd 0.500 0.000 0.500
Gd 0.848 0.848 0.000
Dy 0.352 0.352 0.000
Dy 0.648 0.648 0.000
H 0.000 0.000 0.000

Total energy in eV per atom: -9.78

| no. | M_tot (μB/f.u.) |
| --- | --- |
| 1 | 43.1 |
| 2 | 8.0 |
| 3 | 14.8 |
| 4 | 14.4 |
| 5 | 8.6 |
| 6 | 7.8 |
| 7 | 7.2 |
| 8 | 15.1 |
| 9 | 7.0 |
| 10 | 7.1 |
| 11 | 7.2 |
| 12 | 7.1 |
| 13 | 7.0 |
| 14 | 7.0 |
| 15 | 7.2 |
| 16 | 23.3 |
| 17 | 14.8 |
| 18 | 7.2 |
| 19 | 14.4 |
| 20 | 1.0 |